DFT (PBE) results for a geometry-optimized UP2Pd structure.

extended XYZ file:
```
4
Lattice="3.9739 0.0000 0.0000 1.9869 3.4415 0.0000 1.9869 1.1472 5.2415" Properties=species:S:1:pos:R:3 pbc="T T T"
Pd 0.0000 0.0000 0.0000
U 3.9739 2.2943 2.6208
P 1.9870 1.1472 1.2085
P 5.9608 3.4415 4.0330
```

Output
Formation enthalpy at 0 K = -0.621 eV/atom

DFT (PBE) results for a geometry-optimized Cs2AcOsO6 structure.

extended XYZ file:
```
10
Lattice="6.2805 -0.0001 0.0006 -0.0002 6.2805 0.0003 -3.1395 -3.1392 4.4423" Properties=species:S:1:pos:R:3 pbc="T T T"
O -1.7824 -1.7790 4.4410
O 1.7850 -1.7801 4.4420
O 0.0000 0.0032 1.9164
O -1.7835 1.7884 4.4418
O 3.1410 3.1443 2.5250
O 1.7839 1.7873 4.4428
Cs 3.1403 0.0039 2.2208
Cs 0.0006 3.1436 2.2206
Os 3.1411 -3.1362 4.4420
Ac 0.0007 0.0041 4.4419
```

Output
ΔE_f (raw) = -1.83 eV per atom

DFT (PBE) results for a geometry-optimized CaPr2In9 structure.

extended XYZ file:
```
12
Lattice="-1.9004 -2.9797 -3.1551 3.7515 -2.8594 0.4409 -6.5324 -6.9516 10.4996" Properties=species:S:1:pos:R:3 pbc="T T T"
In -4.2164 -4.9656 3.6722
In -2.0227 -2.6312 0.1463
In -1.2516 -5.2364 2.1422
In -3.4297 -7.5543 5.6431
In 0.8032 -2.5711 1.9443
In -6.4101 -7.3001 7.1981
In 0.9256 -2.9196 -1.3571
In -1.3905 -4.9055 5.4702
In -3.5841 -7.2400 8.9961
Ca 0.0000 0.0000 0.0000
Pr -2.1809 -2.3209 3.5054
Pr -4.3515 -4.6307 6.9941
```

Output
Formation enthalpy at 0 K = -0.420 eV/atom

Number 1: volume 17.92 Å³/atom. Number 2: volume 17.52 Å³/atom. Number 3: volume 26.53 Å³/atom.